LiYOs2: optimized geometry, PBE.

Unit cell a=2.765 b=4.251 c=5.862 alpha=90.00 beta=90.00 gamma=90.00
Space group Pmmm (No. 47)
Asymmetric unit:
1 Li 0.000 0.000 0.000
2 Y 0.000 0.000 0.500
3 Os 0.500 0.500 0.204

The value obtained for the energy relative to the elements is 324 meV/atom.



BaSrLa2: optimized geometry, PBE.

Unit cell a=5.471 b=5.471 c=11.985 alpha=90.00 beta=90.00 gamma=90.00
Space group I4/mmm (No. 139)
Asymmetric unit:
1 Ba 0.000 0.000 0.000
2 Sr 0.000 0.000 0.500
3 La 0.000 0.500 0.250

The value obtained for the energy relative to the elements is 204 meV/atom.



LaSmHo3Tm: optimized geometry, PBE.

Unit cell a=19.620 b=5.642 c=7.111 alpha=90.00 beta=90.81 gamma=90.00
Space group C2/m (No. 12)
Asymmetric unit:
1 La 0.145 0.000 0.029
2 Sm 0.052 0.500 0.272
3 Ho 0.023 0.000 0.731
4 Ho 0.164 0.500 0.724
5 Ho 0.220 0.500 0.243
6 Tm 0.151 0.000 0.457

The value obtained for the energy relative to the elements is 202 meV/atom.



NbMo2Ir5Ru: optimized geometry, PBE.

Unit cell a=7.436 b=7.436 c=10.730 alpha=90.00 beta=90.00 gamma=90.00
Space group I4/mcm (No. 140)
Asymmetric unit:
1 Nb 0.000 0.000 0.250
2 Mo 0.111 0.389 0.000
3 Ir 0.000 0.000 0.000
4 Ir 0.197 0.303 0.371
5 Ru 0.000 0.500 0.250

The value obtained for the energy relative to the elements is 366 meV/atom.



LaPm6Pd3: optimized geometry, PBE.

Unit cell a=11.882 b=13.463 c=7.365 alpha=90.00 beta=90.00 gamma=90.00
Space group Cmc2_1 (No. 36)
Asymmetric unit:
1 La 0.000 0.178 0.000
2 Pm 0.000 0.266 0.519
3 Pm 0.000 0.467 0.874
4 Pm 0.173 0.043 0.370
5 Pm 0.225 0.307 0.214
6 Pd 0.000 0.067 0.665
7 Pd 0.183 0.403 0.580

The value obtained for the energy relative to the elements is -445 meV/atom.



ZrTeCI2: optimized geometry, PBE.

Unit cell a=5.755 b=5.755 c=5.610 alpha=90.00 beta=90.00 gamma=90.00
Space group P4/mmm (No. 123)
Asymmetric unit:
1 Zr 0.000 0.000 0.000
2 Te 0.000 0.000 0.500
3 C 0.500 0.500 0.500
4 I 0.000 0.500 0.000

The uncorrected formation energy comes out at 1.0527 eV/atom.



Y2TaHg: optimized geometry, PBE.

Unit cell a=3.3398 b=3.3398 c=31.4257 alpha=90.00 beta=90.00 gamma=120.00
Space group R3m (No. 160, hexagonal axes)
Asymmetric unit:
1 Y 0.0000 0.0000 0.0000
2 Y 0.0000 0.0000 0.2323
3 Ta 0.0000 0.0000 0.4886
4 Hg 0.0000 0.0000 0.7483

The value obtained for the energy relative to the elements is 255 meV/atom.



CaPm2Sm4Dy: optimized geometry, PBE.

Unit cell a=13.910 b=13.409 c=6.900 alpha=90.00 beta=119.32 gamma=90.00
Space group C2/c (No. 15)
Asymmetric unit:
1 Ca 0.000 0.000 0.000
2 Pm 0.000 0.500 0.000
3 Pm 0.250 0.250 0.000
4 Sm 0.017 0.252 0.517
5 Sm 0.237 0.498 0.461
6 Dy 0.250 0.250 0.500

The value obtained for the energy relative to the elements is 393 meV/atom.